Entry 1:
{"formula": "Pr3Ho2ScSe6", "functional": "PBE", "state": "relaxed", "cell": [[-2.244, -1.516, -3.038], [5.882, -5.840, -1.429], [-4.573, -2.932, 7.568]], "species": ["Pr", "Pr", "Pr", "Ho", "Ho", "Sc", "Se", "Se", "Se", "Se", "Se", "Se"], "fractional_positions": [[0.500, 0.500, 0.000], [0.831, 0.165, 0.663], [0.169, 0.835, 0.337], [0.165, 0.331, 0.331], [0.835, 0.669, 0.669], [0.500, 0.000, 0.000], [0.658, 0.092, 0.316], [0.671, 0.572, 0.342], [0.329, 0.428, 0.658], [0.997, 0.771, 0.995], [0.003, 0.229, 0.005], [0.342, 0.908, 0.684]], "sg": "C2/m"}


Entry 2:
{"formula": "Pr2Sm5HoSc", "functional": "PBE", "state": "relaxed", "cell": [[8.473, 0.000, 0.000], [0.000, 8.473, 0.000], [-4.237, -4.237, 8.360]], "species": ["Pr", "Pr", "Pr", "Pr", "Ho", "Ho", "Sm", "Sm", "Sm", "Sm", "Sm", "Sm", "Sm", "Sm", "Sm", "Sm", "Sc", "Sc"], "fractional_positions": [[0.624, 0.124, 0.000], [0.376, 0.876, 0.000], [0.876, 0.624, 0.000], [0.124, 0.376, 0.000], [0.250, 0.250, 0.500], [0.750, 0.750, 0.500], [0.929, 0.429, 0.292], [0.429, 0.363, 0.292], [0.071, 0.571, 0.708], [0.571, 0.637, 0.708], [0.637, 0.137, 0.708], [0.500, 0.500, 0.000], [0.137, 0.071, 0.708], [0.363, 0.863, 0.292], [0.000, 0.000, 0.000], [0.863, 0.929, 0.292], [0.250, 0.750, 0.500], [0.750, 0.250, 0.500]], "formation_energy_ev_per_atom": 0.27, "sg": "I4/mcm"}


Entry 3:
{"formula": "Pr2SmHo5Sc", "functional": "PBE", "state": "relaxed", "cell": [[-0.715, 3.244, 4.498], [6.869, -7.137, 2.764], [7.766, 6.217, -3.249]], "species": ["Ho", "Ho", "Ho", "Ho", "Ho", "Ho", "Ho", "Ho", "Ho", "Ho", "Pr", "Pr", "Pr", "Pr", "Sm", "Sm", "Sc", "Sc"], "fractional_positions": [[0.375, 0.751, 0.019], [0.518, 0.035, 0.240], [0.297, 0.594, 0.703], [0.625, 0.249, 0.519], [0.277, 0.553, 0.322], [0.703, 0.406, 0.203], [0.482, 0.965, 0.740], [0.723, 0.447, 0.822], [0.017, 0.034, 0.019], [0.983, 0.966, 0.519], [0.887, 0.774, 0.815], [0.113, 0.226, 0.315], [0.885, 0.770, 0.234], [0.115, 0.230, 0.734], [0.588, 0.176, 0.959], [0.412, 0.824, 0.459], [0.197, 0.394, 0.014], [0.803, 0.606, 0.514]], "formation_energy_ev_per_atom": 0.16, "sg": "Cmc2_1"}


Entry 4:
{"formula": "PrSmHoSc", "functional": "PBE", "state": "relaxed", "cell": [[-1.148, -0.529, -5.474], [-3.489, -4.036, -1.761], [-5.097, 1.344, -1.944]], "species": ["Ho", "Sm", "Sc", "Pr"], "fractional_positions": [[0.500, 0.500, 0.500], [0.750, 0.750, 0.750], [0.000, 0.000, 0.000], [0.250, 0.250, 0.250]], "formation_energy_ev_per_atom": 0.10, "sg": "F-43m"}


Entry 5:
{"formula": "Pr2Sm6Ho3Sc", "functional": "PBE", "state": "relaxed", "cell": [[-4.368, -0.538, -4.386], [3.462, -4.919, 1.555], [-7.542, -1.116, 9.117]], "species": ["Sm", "Sm", "Sm", "Sm", "Sm", "Sm", "Ho", "Ho", "Ho", "Sc", "Pr", "Pr"], "fractional_positions": [[0.754, 0.754, 0.252], [0.413, 0.083, 0.252], [0.083, 0.413, 0.252], [0.587, 0.917, 0.748], [0.917, 0.587, 0.748], [0.246, 0.246, 0.748], [0.834, 0.166, 0.500], [0.166, 0.834, 0.500], [0.500, 0.500, 0.500], [0.000, 0.000, 0.000], [0.333, 0.667, 0.000], [0.667, 0.333, 0.000]], "formation_energy_ev_per_atom": 0.03, "sg": "C2/m"}


Entry 6:
{"formula": "PrSmHo3Sc", "functional": "PBE", "state": "relaxed", "cell": [[-2.905, 0.285, 4.060], [4.995, -6.053, 0.920], [6.610, 6.108, 4.301]], "species": ["Ho", "Ho", "Ho", "Ho", "Ho", "Ho", "Pr", "Pr", "Sc", "Sc", "Sm", "Sm"], "fractional_positions": [[0.331, 0.661, 0.500], [0.830, 0.659, 0.250], [0.331, 0.661, 0.000], [0.669, 0.339, 0.000], [0.170, 0.341, 0.750], [0.669, 0.339, 0.500], [0.000, 0.000, 0.500], [0.000, 0.000, 0.000], [0.831, 0.663, 0.750], [0.169, 0.337, 0.250], [0.498, 0.996, 0.750], [0.502, 0.004, 0.250]], "formation_energy_ev_per_atom": 0.04, "sg": "Cmcm"}


| no. | total energy (eV/cell) |
| --- | --- |
| 1 | -71.86 |
| 2 | -83.18 |
| 3 | -84.18 |
| 4 | -20.00 |
| 5 | -57.62 |
| 6 | -58.63 |